Entry 1:
The following is a DFT calculation (GGA-PBE) of Tl2AsW after structural relaxation.

Cell: 5.0237 5.0237 5.0237 Å, 60.00 60.00 60.00°
With the nearest neighbours (Å) after each atom.
Positions (direct):
1 Tl 0.2500 0.2500 0.2500  4 As 3.08, 4 W 3.08
2 Tl 0.7500 0.7500 0.7500  4 As 3.08, 4 W 3.08
3 As 0.0000 0.0000 0.0000  8 Tl 3.08
4 W 0.5000 0.5000 0.5000  8 Tl 3.08

DFT total energy = -0.160 Ha/atom
energy above the most stable polymorph in this dataset = 895 meV per atom
total moment = 2.15 μB/cell
energy of formation = 1232.1 meV per atom

=====

Entry 2:
The following is a DFT calculation (GGA-PBE) of Li2MgGePd4 after structural relaxation.

Cell: 7.5057 7.5057 7.5057 Å, 33.59 33.59 33.59°
With the nearest neighbours (Å) after each atom.
Positions (direct):
1 Li 0.2485 0.2485 0.2485  8 Pd 2.61-2.72
2 Li 0.7515 0.7515 0.7515  8 Pd 2.61-2.72
3 Mg 0.5000 0.5000 0.5000  8 Pd 2.69-2.73
4 Ge 0.0000 0.0000 0.0000  8 Pd 2.55-2.63
5 Pd 0.1203 0.1203 0.1203  1 Ge 2.55, 4 Li 2.61-2.72, 3 Mg 2.69
6 Pd 0.3715 0.3715 0.3715  4 Li 2.61-2.69, 3 Ge 2.63, 1 Mg 2.73
7 Pd 0.6285 0.6285 0.6285  4 Li 2.61-2.69, 3 Ge 2.63, 1 Mg 2.73
8 Pd 0.8797 0.8797 0.8797  1 Ge 2.55, 4 Li 2.61-2.72, 3 Mg 2.69

DFT total energy = -0.164 Ha/atom
total moment = 0.00 μB/cell
energy of formation = -619.5 meV per atom

=====

Entry 3:
The following is a DFT calculation (GGA-PBE) of SiHgIr2 after structural relaxation.

Cell: 7.7262 7.7262 7.7262 Å, 157.79 157.41 31.89°
With the nearest neighbours (Å) after each atom.
Positions (direct):
1 Si 0.0000 0.0000 0.0000  6 Ir 2.34-2.42
2 Hg 0.2570 0.7570 0.5000  6 Ir 2.86-2.94, 4 Hg 2.98-3.03
3 Ir 0.4214 0.4214 0.0000  4 Si 2.42
4 Ir 0.6202 0.1202 0.5000  2 Si 2.34

DFT total energy = -0.218 Ha/atom
energy above the most stable polymorph in this dataset = 129 meV per atom
total moment = 0.00 μB/cell
ΔE_f (raw) = -62 meV per atom

=====

> Look up the DFT total energy of the first one.

-0.160 Ha/atom

=====

> Which of these has the lowest DFT total energy?

SiHgIr2